## CaCd2Sb2 (PBE)

Data for an optimized crystal structure of CaCd2Sb2.

Its density of states at the Fermi level is 3.43 states/eV/cell. For the energy relative to the lowest polymorph listed for this composition, the calculation gives 152 meV/atom. The formation energy from raw total energies comes out at -0.313 eV per atom.

Cell and atoms, written as CIF:
```
data_CaCd2Sb2
_cell_length_a 4.3848
_cell_length_b 4.3848
_cell_length_c 14.8576
_cell_angle_alpha 90.00
_cell_angle_beta 90.00
_cell_angle_gamma 90.00
_symmetry_space_group_name_H-M 'I 4/m m m'
_symmetry_Int_Tables_number 139
_symmetry_space_group_name_Hall '-I 4 2'
loop_
_atom_site_label
_atom_site_type_symbol
_atom_site_fract_x
_atom_site_fract_y
_atom_site_fract_z
Ca1 Ca 0.0000 0.0000 0.0000
Cd1 Cd 0.0000 0.5000 0.2500
Sb1 Sb 0.0000 0.0000 0.3890
```



## CaCdSb2 (PBE)

Data for an optimized crystal structure of CaCdSb2.

Its density of states at the Fermi level is 3.65 states/eV/cell. The formation energy from raw total energies comes out at -0.418 eV per atom.

Cell and atoms, written as CIF:
```
data_CaCdSb2
_cell_length_a 6.8975
_cell_length_b 6.9650
_cell_length_c 4.4293
_cell_angle_alpha 90.00
_cell_angle_beta 90.52
_cell_angle_gamma 90.00
_symmetry_space_group_name_H-M 'C 1 2/m 1'
_symmetry_Int_Tables_number 12
loop_
_symmetry_equiv_pos_as_xyz
'x,y,z'
'-x,-y,-z'
'-x,y,-z'
'x,-y,z'
'x+1/2,y+1/2,z'
'-x+1/2,-y+1/2,-z'
'-x+1/2,y+1/2,-z'
'x+1/2,-y+1/2,z'
loop_
_atom_site_label
_atom_site_type_symbol
_atom_site_fract_x
_atom_site_fract_y
_atom_site_fract_z
Ca1 Ca 0.0000 0.0000 0.0000
Cd1 Cd 0.0000 0.5000 0.0000
Sb1 Sb 0.2500 0.2500 0.5000
```



## CaCdSb2 (PBE)

Data for an optimized crystal structure of CaCdSb2.

Its density of states at the Fermi level is 2.97 states/eV/cell. The formation energy from raw total energies comes out at -0.362 eV per atom.

Cell and atoms, written as CIF:
```
data_CaCdSb2
_cell_length_a 6.9586
_cell_length_b 8.4411
_cell_length_c 3.6800
_cell_angle_alpha 90.00
_cell_angle_beta 90.00
_cell_angle_gamma 90.00
_symmetry_space_group_name_H-M 'C m m m'
_symmetry_Int_Tables_number 65
_symmetry_space_group_name_Hall '-C 2 2'
loop_
_atom_site_label
_atom_site_type_symbol
_atom_site_fract_x
_atom_site_fract_y
_atom_site_fract_z
Ca1 Ca 0.0000 0.0000 0.0000
Cd1 Cd 0.0000 0.5000 0.0000
Sb1 Sb 0.2500 0.2500 0.5000
```



## CaCd3Sb (PBE)

Data for an optimized crystal structure of CaCd3Sb.

Its density of states at the Fermi level is 4.40 states/eV/cell. For the energy relative to the lowest polymorph listed for this composition, the calculation gives 449 meV/atom. The formation energy from raw total energies comes out at 0.679 eV per atom.

Cell and atoms, written as CIF:
```
data_CaCd3Sb
_cell_length_a 5.7470
_cell_length_b 5.7470
_cell_length_c 5.7470
_cell_angle_alpha 90.00
_cell_angle_beta 90.00
_cell_angle_gamma 90.00
_symmetry_space_group_name_H-M 'P m -3 m'
_symmetry_Int_Tables_number 221
_symmetry_space_group_name_Hall '-P 4 2 3'
loop_
_atom_site_label
_atom_site_type_symbol
_atom_site_fract_x
_atom_site_fract_y
_atom_site_fract_z
Ca1 Ca 0.0000 0.0000 0.0000
Cd1 Cd 0.0000 0.0000 0.5000
Sb1 Sb 0.5000 0.5000 0.5000
```



## Ca2CdSb (PBE)

Data for an optimized crystal structure of Ca2CdSb.

Its density of states at the Fermi level is 2.30 states/eV/cell. For the energy relative to the lowest polymorph listed for this composition, the calculation gives 53 meV/atom. The formation energy from raw total energies comes out at -0.640 eV per atom.

Cell and atoms, written as CIF:
```
data_Ca2CdSb
_cell_length_a 3.8076
_cell_length_b 4.1217
_cell_length_c 7.2917
_cell_angle_alpha 90.00
_cell_angle_beta 90.00
_cell_angle_gamma 90.00
_symmetry_space_group_name_H-M 'P m m m'
_symmetry_Int_Tables_number 47
loop_
_symmetry_equiv_pos_as_xyz
'x,y,z'
'-x,-y,-z'
'-x,-y,z'
'x,y,-z'
'x,-y,-z'
'-x,y,z'
'-x,y,-z'
'x,-y,z'
loop_
_atom_site_label
_atom_site_type_symbol
_atom_site_fract_x
_atom_site_fract_y
_atom_site_fract_z
Ca1 Ca 0.0000 0.0000 0.2389
Cd1 Cd 0.5000 0.5000 0.5000
Sb1 Sb 0.5000 0.5000 0.0000
```



## Ca2CdSb2 (PBE)

Data for an optimized crystal structure of Ca2CdSb2.

The formation energy from raw total energies comes out at -0.798 eV per atom.

Cell and atoms, written as CIF:
```
data_Ca2CdSb2
_cell_length_a 7.3559
_cell_length_b 4.6450
_cell_length_c 17.6466
_cell_angle_alpha 90.00
_cell_angle_beta 90.00
_cell_angle_gamma 90.00
_symmetry_space_group_name_H-M 'P n m a'
_symmetry_Int_Tables_number 62
loop_
_symmetry_equiv_pos_as_xyz
'x,y,z'
'-x,-y,-z'
'-x+1/2,-y,z+1/2'
'x+1/2,y,-z+1/2'
'x+1/2,-y+1/2,-z+1/2'
'-x+1/2,y+1/2,z+1/2'
'-x,y+1/2,-z'
'x,-y+1/2,z'
loop_
_atom_site_label
_atom_site_type_symbol
_atom_site_fract_x
_atom_site_fract_y
_atom_site_fract_z
Ca1 Ca 0.0370 0.2500 0.2263
Ca2 Ca 0.2145 0.2500 0.4455
Cd1 Cd 0.1360 0.2500 0.6502
Sb1 Sb 0.2413 0.2500 0.0694
Sb2 Sb 0.2436 0.2500 0.8164
```